## Nd4BCl5 (PBE)

Data for a relaxed Nd4BCl5 crystal.

Results
- Total moment: 0.000 μB per atom
- E: -5.154 eV per atom
- DOS at the Fermi energy: 4.44 states/eV per cell
- Symmetry: No. 12

```
10
Lattice="8.998 -1.998 0.000 8.998 1.998 0.000 -2.041 0.000 7.935" Properties=species:S:1:pos:R:3 pbc="T T T"
Nd -0.547 0.000 2.209
Nd 5.481 0.000 3.264
Nd 10.475 0.000 4.671
Nd 16.503 0.000 5.726
B 7.978 0.000 3.967
Cl 1.242 0.000 6.651
Cl 2.346 0.000 2.779
Cl 8.998 0.000 0.000
Cl 13.610 0.000 5.156
Cl 14.714 0.000 1.284
```

## PaGeS3 (PBE)

Data for a relaxed PaGeS3 crystal.

Results
- Energy above the most stable polymorph in this dataset: 22 meV per atom
- Total moment: 0.000 μB per atom
- E: -6.318 eV per atom
- Symmetry: No. 14

```
20
Lattice="5.284 0.000 0.000 0.000 7.118 0.000 -4.168 0.000 12.460" Properties=species:S:1:pos:R:3 pbc="T T T"
Pa -0.297 0.591 3.024
Pa -2.381 2.968 9.254
Pa 3.497 4.150 3.206
Pa 1.413 6.527 9.436
Ge 1.876 0.702 0.774
Ge -0.208 2.857 7.004
Ge 1.324 4.261 5.456
Ge -0.760 6.417 11.686
S -3.631 1.473 11.107
S -1.547 2.086 4.877
S -2.543 4.934 11.189
S -0.459 5.743 4.959
S -1.176 0.427 9.261
S 0.908 3.132 3.031
S 0.207 3.986 9.430
S 2.291 6.691 3.200
S 1.575 1.375 7.501
S 3.659 2.184 1.271
S 2.663 5.032 7.583
S 4.747 5.645 1.353
```

## Cd6AgPt (PBE)

Data for a relaxed Cd6AgPt crystal.

Results
- Energy above the most stable polymorph in this dataset: 7 meV per atom
- E_form: -0.085 eV/atom
- Total moment: 0.000 μB per atom
- E: -1.883 eV per atom
- DOS at the Fermi energy: 1.91 states/eV per cell
- Symmetry: No. 69

```
8
Lattice="0.000 4.188 6.067 3.142 0.000 6.067 3.142 4.188 0.000" Properties=species:S:1:pos:R:3 pbc="T T T"
Cd 1.571 2.094 1.449
Cd 3.142 4.188 2.966
Cd 1.571 2.094 4.618
Cd 4.714 6.282 7.516
Cd 3.142 4.188 9.169
Cd 4.714 6.282 10.685
Ag 3.142 4.188 6.067
Pt 0.000 0.000 0.000
```

## MnCo2Tc (PBE)

Data for a relaxed MnCo2Tc crystal.

Results
- Energy above the most stable polymorph in this dataset: 53 meV per atom
- E_form: 0.064 eV/atom
- Total moment: 0.426 μB per atom
- E: -8.372 eV per atom
- DOS at the Fermi energy: 4.01 states/eV per cell
- Symmetry: No. 65

```
4
Lattice="2.540 -3.622 0.000 2.540 3.622 0.000 0.000 0.000 2.554" Properties=species:S:1:pos:R:3 pbc="T T T"
Mn 0.000 0.000 0.000
Co 1.270 1.811 1.277
Co 1.270 -1.811 1.277
Tc 2.540 0.000 0.000
```